# Rb2CaIrI6 PBE optimized geometry
data_Rb2CaIrI6
_space_group_name_H-M_alt 'I 4/m m m'
_space_group_IT_number 139
_space_group_name_Hall '-I 4 2'
_cell_length_a 8.323
_cell_length_b 8.323
_cell_length_c 11.749
_cell_angle_alpha 90.00
_cell_angle_beta 90.00
_cell_angle_gamma 90.00
loop_
_atom_site_label
_atom_site_type_symbol
_atom_site_fract_x
_atom_site_fract_y
_atom_site_fract_z
Rb1 Rb 0.000 0.500 0.250
Ca1 Ca 0.000 0.000 0.000
Ir1 Ir 0.000 0.000 0.500
I1 I 0.000 0.000 0.266
I2 I 0.235 0.235 0.500
# Crystal system: tetragonal
# DOS at the Fermi energy: 0.419 states/eV/atom
# Raw formation energy: -0.881 eV per atom

---

# Tm6Zn5Rh PBE optimized geometry
data_Tm6Zn5Rh
_space_group_name_H-M_alt 'P 1 2/m 1'
_space_group_IT_number 10
_space_group_name_Hall '-P 2y'
_cell_length_a 4.937
_cell_length_b 6.987
_cell_length_c 7.798
_cell_angle_alpha 90.00
_cell_angle_beta 108.36
_cell_angle_gamma 90.00
loop_
_atom_site_label
_atom_site_type_symbol
_atom_site_fract_x
_atom_site_fract_y
_atom_site_fract_z
Tm1 Tm 0.000 0.242 0.000
Tm2 Tm 0.338 0.246 0.676
Zn1 Zn 0.168 0.500 0.337
Zn2 Zn 0.173 0.000 0.347
Zn3 Zn 0.500 0.500 0.000
Rh1 Rh 0.500 0.000 0.000
# Formation energy: -0.47 eV per atom
# Crystal system: monoclinic
# DOS at the Fermi energy: 0.596 states/eV/atom

---

# TlCd2AgHg PBE optimized geometry
data_TlCd2AgHg
_space_group_name_H-M_alt 'P 4/m m m'
_space_group_IT_number 123
_space_group_name_Hall '-P 4 2'
_cell_length_a 5.356
_cell_length_b 5.356
_cell_length_c 5.596
_cell_angle_alpha 90.00
_cell_angle_beta 90.00
_cell_angle_gamma 90.00
loop_
_atom_site_label
_atom_site_type_symbol
_atom_site_fract_x
_atom_site_fract_y
_atom_site_fract_z
Tl1 Tl 0.000 0.000 0.000
Cd1 Cd 0.000 0.500 0.500
Ag1 Ag 0.000 0.000 0.500
Hg1 Hg 0.500 0.500 0.000
# Formation energy: 0.18 eV per atom
# Crystal system: tetragonal
# DOS at the Fermi energy: 0.332 states/eV/atom

---

# RePCl3 PBE optimized geometry
data_RePCl3
_space_group_name_H-M_alt 'P m -3 m'
_space_group_IT_number 221
_space_group_name_Hall '-P 4 2 3'
_cell_length_a 4.973
_cell_length_b 4.973
_cell_length_c 4.973
_cell_angle_alpha 90.00
_cell_angle_beta 90.00
_cell_angle_gamma 90.00
loop_
_atom_site_label
_atom_site_type_symbol
_atom_site_fract_x
_atom_site_fract_y
_atom_site_fract_z
Re1 Re 0.000 0.000 0.000
P1 P 0.500 0.500 0.500
Cl1 Cl 0.000 0.500 0.500
# Crystal system: cubic
# DOS at the Fermi energy: 0.351 states/eV/atom
# Raw formation energy: 1.059 eV per atom

---

# Sr2SiBr PBE optimized geometry
data_Sr2SiBr
_space_group_name_H-M_alt 'R 3 m'
_space_group_IT_number 160
_space_group_name_Hall 'R 3 -2"'
_cell_length_a 4.1681
_cell_length_b 4.1681
_cell_length_c 33.7610
_cell_angle_alpha 90.00
_cell_angle_beta 90.00
_cell_angle_gamma 120.00
loop_
_atom_site_label
_atom_site_type_symbol
_atom_site_fract_x
_atom_site_fract_y
_atom_site_fract_z
Sr1 Sr 0.0000 0.0000 0.0000
Sr2 Sr 0.0000 0.0000 0.2207
Si1 Si 0.0000 0.0000 0.7283
Br1 Br 0.0000 0.0000 0.5005
# Crystal system: trigonal
# DOS at the Fermi energy: 0.682 states/eV/atom
# Raw formation energy: -0.204 eV per atom

---

# TaPd3I PBE optimized geometry
data_TaPd3I
_space_group_name_H-M_alt 'P m -3 m'
_space_group_IT_number 221
_space_group_name_Hall '-P 4 2 3'
_cell_length_a 4.894
_cell_length_b 4.894
_cell_length_c 4.894
_cell_angle_alpha 90.00
_cell_angle_beta 90.00
_cell_angle_gamma 90.00
loop_
_atom_site_label
_atom_site_type_symbol
_atom_site_fract_x
_atom_site_fract_y
_atom_site_fract_z
Ta1 Ta 0.000 0.000 0.000
Pd1 Pd 0.000 0.500 0.500
I1 I 0.500 0.500 0.500
# Crystal system: cubic
# DOS at the Fermi energy: 0.650 states/eV/atom
# Raw formation energy: 1.288 eV per atom

---

> Which value of DOS at the Fermi energy does entry 4 give?

0.351 states/eV/atom

---

> Look up the DOS at the Fermi energy of the fifth one.

0.682 states/eV/atom

---

> Which formula does entry 1 have?

Rb2CaIrI6